# CaTb4Se6

A relaxed CaTb4Se6 crystal (GGA-PBE, Alexandria via LeMat-Bulk).

Results
Size of the total moment ... 0.00 μB/cell
Space-group type ... Cmcm (63)
D(E_F) ... 3.363 states/eV/f.u.
Energy relative to the elements, uncorrected ... -20.6 eV per formula unit

Unit cell a=4.0698 b=7.0444 c=21.0071 alpha=90.00 beta=90.00 gamma=106.79
Fractional positions:
Ca (0.6586, 0.3172, 0.2500)
Ca (0.3414, 0.6828, 0.7500)
Tb (0.8612, 0.7225, 0.5399)
Tb (0.4086, 0.8171, 0.1299)
Tb (0.1388, 0.2775, 0.4601)
Tb (0.5914, 0.1829, 0.8701)
Tb (0.8612, 0.7225, 0.9601)
Tb (0.1388, 0.2775, 0.0399)
Tb (0.5914, 0.1829, 0.6299)
Tb (0.4086, 0.8171, 0.3701)
Se (0.5000, 0.0000, 0.0000)
Se (0.5000, 0.0000, 0.5000)
Se (0.0481, 0.0962, 0.3358)
Se (0.9519, 0.9038, 0.6642)
Se (0.9519, 0.9038, 0.8358)
Se (0.0481, 0.0962, 0.1642)
Se (0.7703, 0.5405, 0.4122)
Se (0.2297, 0.4595, 0.5878)
Se (0.2297, 0.4595, 0.9122)
Se (0.7703, 0.5405, 0.0878)
Se (0.3140, 0.6279, 0.2500)
Se (0.6860, 0.3721, 0.7500)